First-principles (PBE) data for an optimized crystal structure of SnPICl2, as listed in the Alexandria database.

Geometry as POSCAR:
```
SnPICl2
1.0
-0.199 -2.719 -4.255
5.017 0.382 -0.479
0.651 -4.766 3.015
P Sn Cl I
1 1 2 1
Cartesian
0.326 -2.383 1.508
0.000 0.000 0.000
2.508 0.191 -0.240
-0.100 -1.360 -2.128
2.734 -3.552 -0.860
```

Formation energy (no corrections)   4 kJ per mole of atoms
Crystal system   tetragonal